[1]
A plane-wave DFT calculation with PBE was carried out for a relaxed Ga4Ag5Sn crystal.

Geometry as CIF:
```
data_Ga4Ag5Sn
_symmetry_space_group_name_H-M 'C 1 2/m 1'
_symmetry_Int_Tables_number 12
_cell_length_a 15.299
_cell_length_b 3.134
_cell_length_c 8.403
_cell_angle_alpha 90.00
_cell_angle_beta 110.70
_cell_angle_gamma 90.00
loop_
_symmetry_equiv_pos_as_xyz
'x,y,z'
'-x,-y,-z'
'-x,y,-z'
'x,-y,z'
'x+1/2,y+1/2,z'
'-x+1/2,-y+1/2,-z'
'-x+1/2,y+1/2,-z'
'x+1/2,-y+1/2,z'
loop_
_atom_site_label
_atom_site_fract_x
_atom_site_fract_y
_atom_site_fract_z
Ga1 0.096 0.000 0.330
Ga2 0.201 0.500 0.096
Ag1 0.000 0.500 0.500
Ag2 0.108 0.000 0.796
Ag3 0.212 0.500 0.613
Sn1 0.000 0.500 0.000
```

---

[2]
A plane-wave DFT calculation with PBE was carried out for a relaxed Ga2Ag4Sn crystal.

Geometry as CIF:
```
data_Ga2Ag4Sn
_symmetry_space_group_name_H-M 'C 1 m 1'
_symmetry_Int_Tables_number 8
_cell_length_a 5.469
_cell_length_b 3.060
_cell_length_c 15.939
_cell_angle_alpha 90.00
_cell_angle_beta 90.17
_cell_angle_gamma 90.00
loop_
_symmetry_equiv_pos_as_xyz
'x,y,z'
'x,-y,z'
'x+1/2,y+1/2,z'
'x+1/2,-y+1/2,z'
loop_
_atom_site_label
_atom_site_fract_x
_atom_site_fract_y
_atom_site_fract_z
Ga1 0.000 0.000 0.000
Ga2 0.005 0.000 0.727
Ag1 0.004 0.000 0.449
Ag2 0.163 0.500 0.136
Ag3 0.333 0.000 0.593
Ag4 0.337 0.000 0.862
Sn1 0.329 0.000 0.294
```

---

[3]
A plane-wave DFT calculation with PBE was carried out for a relaxed Ga11AgSn crystal.

Geometry as CIF:
```
data_Ga11AgSn
_symmetry_space_group_name_H-M 'C 1 2/m 1'
_symmetry_Int_Tables_number 12
_cell_length_a 5.263
_cell_length_b 15.749
_cell_length_c 6.474
_cell_angle_alpha 90.00
_cell_angle_beta 102.59
_cell_angle_gamma 90.00
loop_
_symmetry_equiv_pos_as_xyz
'x,y,z'
'-x,-y,-z'
'-x,y,-z'
'x,-y,z'
'x+1/2,y+1/2,z'
'-x+1/2,-y+1/2,-z'
'-x+1/2,y+1/2,-z'
'x+1/2,-y+1/2,z'
loop_
_atom_site_label
_atom_site_fract_x
_atom_site_fract_y
_atom_site_fract_z
Ga1 0.000 0.000 0.000
Ga2 0.137 0.395 0.702
Ga3 0.197 0.173 0.873
Ga4 0.250 0.250 0.500
Ag1 0.000 0.500 0.000
Sn1 0.000 0.000 0.500
```

---

[4]
A plane-wave DFT calculation with PBE was carried out for a relaxed Sr2GaAg6Sn crystal.

Geometry as CIF:
```
data_Sr2GaAg6Sn
_symmetry_space_group_name_H-M 'I 4/m m m'
_symmetry_Int_Tables_number 139
_symmetry_space_group_name_Hall '-I 4 2'
_cell_length_a 7.251
_cell_length_b 7.251
_cell_length_c 10.243
_cell_angle_alpha 90.00
_cell_angle_beta 90.00
_cell_angle_gamma 90.00
loop_
_atom_site_label
_atom_site_fract_x
_atom_site_fract_y
_atom_site_fract_z
Sr1 0.000 0.500 0.250
Ga1 0.000 0.000 0.000
Ag1 0.000 0.000 0.241
Ag2 0.241 0.241 0.000
Sn1 0.000 0.000 0.500
```

---

[5]
A plane-wave DFT calculation with PBE was carried out for a relaxed Sr2GaAg4Sn2 crystal.

Geometry as CIF:
```
data_Sr2GaAg4Sn2
_symmetry_space_group_name_H-M 'I 4/m m m'
_symmetry_Int_Tables_number 139
_symmetry_space_group_name_Hall '-I 4 2'
_cell_length_a 6.850
_cell_length_b 6.850
_cell_length_c 9.718
_cell_angle_alpha 90.00
_cell_angle_beta 90.00
_cell_angle_gamma 90.00
loop_
_atom_site_label
_atom_site_fract_x
_atom_site_fract_y
_atom_site_fract_z
Sr1 0.000 0.500 0.250
Ga1 0.000 0.000 0.000
Ag1 0.231 0.231 0.500
Sn1 0.000 0.000 0.309
```

---

[6]
A plane-wave DFT calculation with PBE was carried out for a relaxed Sr3GaAg6Sn2 crystal.

Geometry as CIF:
```
data_Sr3GaAg6Sn2
_symmetry_space_group_name_H-M 'P -3 m 1'
_symmetry_Int_Tables_number 164
_symmetry_space_group_name_Hall '-P 3 2"'
_cell_length_a 6.5621
_cell_length_b 6.5621
_cell_length_c 8.7273
_cell_angle_alpha 90.00
_cell_angle_beta 90.00
_cell_angle_gamma 120.00
loop_
_atom_site_label
_atom_site_fract_x
_atom_site_fract_y
_atom_site_fract_z
Sr1 0.0000 0.0000 0.0000
Sr2 0.3333 0.6667 0.7012
Ga1 0.0000 0.0000 0.5000
Ag1 0.1846 0.3693 0.3381
Sn1 0.3333 0.6667 0.0810
```

---

Number 1: ΔE_f 0.025 eV/atom. Number 2: ΔE_f 0.037 eV/atom. Number 3: ΔE_f 0.062 eV/atom. Number 4: ΔE_f -0.069 eV/atom. Number 5: ΔE_f -0.252 eV/atom. Number 6: ΔE_f -0.224 eV/atom.